Entry 1:
The following is a PBE-GGA calculation of ZrFe2Ag after structural relaxation, from Alexandria via LeMat-Bulk.

Structure (extended XYZ):
```
4
Lattice="3.291 0.000 0.000 0.000 3.291 0.000 0.000 0.000 5.825" Properties=species:S:1:pos:R:3 pbc="T T T"
Zr 0.000 0.000 0.000
Fe 1.646 1.646 1.445
Fe 1.646 1.646 4.380
Ag 0.000 0.000 2.913
```

## Properties
Its energy is -27.51 eV per cell. As for the polymorph energy (0 for the lowest one): 0.116 eV per atom. The volume comes out at 15.8 A^3/atom. The total magnetic moment is 0.86 μB/atom. Its space group is P4/mmm (123). The formation energy from the elements is 0.20 eV/atom.



Entry 2:
The following is a PBE-GGA calculation of Zr2FeAg after structural relaxation, from Alexandria via LeMat-Bulk.

Structure (extended XYZ):
```
8
Lattice="-3.656 3.656 2.853 3.656 -3.656 2.853 3.656 3.656 -2.853" Properties=species:S:1:pos:R:3 pbc="T T T"
Zr 5.484 1.540 -0.713
Zr 1.540 1.828 0.713
Zr -1.828 2.115 2.140
Zr 2.115 1.828 3.566
Fe 0.000 0.000 0.000
Fe 0.000 3.656 1.427
Ag 3.656 0.000 1.427
Ag 0.000 0.000 2.853
```

## Properties
Its energy is -54.26 eV per cell. As for the polymorph energy (0 for the lowest one): 0.426 eV per atom. The volume comes out at 19.1 A^3/atom. The total magnetic moment is 0.00 μB/atom. Its space group is I-42d (122). The formation energy from the elements is 0.32 eV/atom.



Entry 3:
The following is a PBE-GGA calculation of ZrFe3Ag after structural relaxation, from Alexandria via LeMat-Bulk.

Structure (extended XYZ):
```
5
Lattice="4.658 0.000 0.000 0.000 4.658 0.000 0.000 0.000 4.658" Properties=species:S:1:pos:R:3 pbc="T T T"
Zr 0.000 0.000 0.000
Fe 0.000 2.329 2.329
Fe 2.329 0.000 2.329
Fe 2.329 2.329 0.000
Ag 2.329 2.329 2.329
```

## Properties
Its energy is -30.21 eV per cell. As for the polymorph energy (0 for the lowest one): 0.000 eV per atom. The volume comes out at 20.2 A^3/atom. The total magnetic moment is 1.54 μB/atom. Its space group is Pm-3m (221). The formation energy from the elements is 1.32 eV/atom.



Entry 4:
The following is a PBE-GGA calculation of ZrFeAg3 after structural relaxation, from Alexandria via LeMat-Bulk.

Structure (extended XYZ):
```
5
Lattice="4.711 0.000 0.000 0.000 4.711 0.000 0.000 0.000 4.711" Properties=species:S:1:pos:R:3 pbc="T T T"
Zr 0.000 0.000 0.000
Fe 2.355 2.355 2.355
Ag 0.000 2.355 2.355
Ag 2.355 0.000 2.355
Ag 2.355 2.355 0.000
```

## Properties
Its energy is -20.11 eV per cell. As for the polymorph energy (0 for the lowest one): 0.000 eV per atom. The volume comes out at 20.9 A^3/atom. The total magnetic moment is 0.14 μB/atom. Its space group is Pm-3m (221). The formation energy from the elements is 1.09 eV/atom.



Entry 5:
The following is a PBE-GGA calculation of ZrFe2Ag after structural relaxation, from Alexandria via LeMat-Bulk.

Structure (extended XYZ):
```
4
Lattice="0.000 3.176 3.176 3.176 0.000 3.176 3.176 3.176 0.000" Properties=species:S:1:pos:R:3 pbc="T T T"
Zr 0.000 0.000 0.000
Fe 1.588 1.588 1.588
Fe 3.176 3.176 3.176
Ag 4.765 4.765 4.765
```

## Properties
Its energy is -27.41 eV per cell. As for the polymorph energy (0 for the lowest one): 0.140 eV per atom. The volume comes out at 16.0 A^3/atom. The total magnetic moment is 1.06 μB/atom. Its space group is F-43m (216). The formation energy from the elements is 0.23 eV/atom.



Entry 6:
The following is a PBE-GGA calculation of ZrFeAg2 after structural relaxation, from Alexandria via LeMat-Bulk.

Structure (extended XYZ):
```
4
Lattice="3.821 0.000 0.000 0.000 3.821 0.000 0.000 0.000 4.571" Properties=species:S:1:pos:R:3 pbc="T T T"
Zr 0.000 0.000 0.000
Fe 1.911 1.911 0.000
Ag 0.000 1.911 2.285
Ag 1.911 0.000 2.285
```

## Properties
Its energy is -21.97 eV per cell. As for the polymorph energy (0 for the lowest one): 0.074 eV per atom. The volume comes out at 16.7 A^3/atom. The total magnetic moment is 0.00 μB/atom. Its space group is P4/mmm (123). The formation energy from the elements is 0.18 eV/atom.